Entry from the Alexandria database: crystalline MgIrAu at its relaxed geometry (GGA-PBE).

Cell lengths 4.393, 4.393, 4.393 Å; angles 60.00, 60.00, 60.00 degrees
Fractional positions:
Mg  0.000  0.000  0.000
Ir  0.750  0.750  0.750
Au  0.500  0.500  0.500

**Symmetry**: No. 216
**ΔH_f (0 K)**: 0.251 eV/atom
**Energy above the most stable polymorph in this dataset**: 396 meV/atom
**Fermi-level density of states**: 6.52 states/eV per cell